Record 1
VASP calculation (GGA-PBE) on a geometry-optimized CeScPaO6 structure.

Structure (extended XYZ):
```
18
Lattice="-3.273 -3.545 1.466 3.094 -1.300 3.764 -4.686 6.906 6.238" Properties=species:S:1:pos:R:3 pbc="T T T"
Ce -2.440 1.041 5.744
Ce -0.008 0.011 0.010
Sc -3.993 3.330 7.811
Sc -1.561 2.300 2.078
Pa -0.868 -1.275 3.651
Pa -3.122 4.600 4.155
O -0.406 1.720 6.442
O -4.432 0.300 4.989
O -4.729 5.354 7.873
O -4.795 3.572 9.796
O 1.056 -0.524 4.413
O -2.872 -1.909 2.995
O -3.217 3.164 5.822
O -3.285 1.309 7.825
O -5.917 2.607 7.075
O -2.020 3.981 8.482
O -1.660 -1.099 5.674
O -1.591 0.781 3.645
```

## Properties
- DOS at the Fermi energy (states/eV/f.u.) = 0.000
- energy (eV/atom) = -9.21
- calculated volume (Å³/cell) = 265.0
- space group = No. 102

***

Record 2
VASP calculation (GGA-PBE) on a geometry-optimized CePaSeO2 structure.

Structure (extended XYZ):
```
5
Lattice="3.879 0.000 0.000 0.000 3.879 0.000 -1.939 -1.939 6.246" Properties=species:S:1:pos:R:3 pbc="T T T"
Ce 1.939 1.939 4.463
Pa 0.000 0.000 1.847
Se 1.939 1.939 0.065
O 1.939 0.000 3.058
O 0.000 1.939 3.058
```

## Properties
- DOS at the Fermi energy (states/eV/f.u.) = 9.002
- energy (eV/atom) = -8.48
- calculated volume (Å³/cell) = 94.0
- space group = No. 107

***

Record 3
VASP calculation (GGA-PBE) on a geometry-optimized CePaSi2O8 structure.

Structure (extended XYZ):
```
12
Lattice="5.906 0.031 0.000 -2.591 5.308 0.000 -1.657 -2.670 5.001" Properties=species:S:1:pos:R:3 pbc="T T T"
Ce -1.296 2.654 2.501
Pa 0.000 0.000 0.000
Si 2.953 0.016 2.501
Si 1.657 2.670 0.000
O 1.632 -0.372 1.583
O 0.341 2.205 0.873
O 0.167 -1.386 4.128
O 3.192 -1.340 3.418
O 2.974 3.134 0.873
O 4.274 0.403 1.583
O 2.715 1.371 3.418
O -0.167 1.386 4.128
```

## Properties
- DOS at the Fermi energy (states/eV/f.u.) = 8.279
- energy (eV/atom) = -8.68
- calculated volume (Å³/cell) = 157.2
- space group = No. 119

***

Record 4
VASP calculation (GGA-PBE) on a geometry-optimized CeSmPaO6 structure.

Structure (extended XYZ):
```
9
Lattice="4.707 0.000 0.000 0.000 5.878 0.000 0.000 -2.939 5.091" Properties=species:S:1:pos:R:3 pbc="T T T"
Ce 2.353 0.000 0.000
Sm 2.353 2.939 1.697
Pa 0.000 0.000 3.394
O 3.508 1.866 3.441
O 3.508 -0.974 4.987
O 3.508 -0.892 1.754
O 1.199 0.892 1.754
O 1.199 0.974 4.987
O 1.199 -1.866 3.441
```

## Properties
- energy (eV/atom) = -8.92
- calculated volume (Å³/cell) = 140.8
- space group = No. 149

***

Record 5
VASP calculation (GGA-PBE) on a geometry-optimized SrCePa2O8 structure.

Structure (extended XYZ):
```
12
Lattice="-2.172 -5.033 -0.470 4.722 -1.837 -2.144 0.507 2.201 6.291" Properties=species:S:1:pos:R:3 pbc="T T T"
Sr 0.000 0.000 0.000
Ce -0.195 -3.134 2.257
Pa 1.275 -3.435 -1.307
Pa 3.252 -1.536 1.420
O 2.303 -5.388 -0.627
O 1.168 -2.120 0.588
O 1.956 -2.519 3.068
O 0.685 0.689 4.317
O 0.124 -4.542 0.366
O 3.349 -2.968 -0.398
O 2.958 -0.196 3.289
O -0.315 -1.636 4.103
```

## Properties
- DOS at the Fermi energy (states/eV/f.u.) = 0.000
- energy (eV/atom) = -9.05
- calculated volume (Å³/cell) = 164.5
- space group = No. 119

***

Record 6
VASP calculation (GGA-PBE) on a geometry-optimized CePaTiO6 structure.

Structure (extended XYZ):
```
18
Lattice="-0.386 5.431 -1.061 -3.358 -2.340 3.744 6.605 1.853 7.081" Properties=species:S:1:pos:R:3 pbc="T T T"
Ce 0.000 0.000 0.000
Ce 3.302 0.926 3.541
Pa -0.716 0.714 3.913
Pa 3.577 4.230 5.851
Ti 0.275 3.304 2.311
Ti 2.586 1.640 7.453
O -1.449 2.345 2.659
O -0.607 4.752 1.244
O 0.819 0.772 7.819
O 3.468 0.193 8.520
O 1.081 1.864 3.446
O -0.118 4.487 3.878
O 2.162 2.740 9.072
O 2.042 4.172 1.946
O 2.979 0.457 5.886
O 0.699 2.204 0.692
O 1.780 3.080 6.318
O 4.310 2.599 7.105
```

## Properties
- DOS at the Fermi energy (states/eV/f.u.) = 5.605
- energy (eV/atom) = -9.23
- calculated volume (Å³/cell) = 262.7
- space group = No. 163

***

Record 7
VASP calculation (GGA-PBE) on a geometry-optimized CePa3Tl2O12 structure.

Structure (extended XYZ):
```
18
Lattice="8.199 0.005 0.003 4.053 7.127 0.003 4.053 2.359 6.725" Properties=species:S:1:pos:R:3 pbc="T T T"
Ce 0.000 0.000 0.000
Pa 4.099 0.002 0.002
Pa 2.027 3.563 0.002
Pa 2.027 1.180 3.363
Tl 11.169 6.501 4.611
Tl 5.137 2.990 2.121
O 7.662 4.460 6.442
O 12.781 7.439 2.175
O 10.235 8.885 6.302
O 10.353 2.931 2.079
O 12.781 4.512 6.302
O 7.662 7.555 2.079
O 8.644 5.031 0.290
O 3.525 2.052 4.557
O 6.070 0.606 0.430
O 5.953 6.560 4.653
O 3.525 4.979 0.430
O 8.644 1.937 4.653
```

## Properties
- DOS at the Fermi energy (states/eV/f.u.) = 16.989
- energy (eV/atom) = -8.07
- calculated volume (Å³/cell) = 392.7
- space group = No. 166

***

Record 8
VASP calculation (GGA-PBE) on a geometry-optimized CePaTlO6 structure.

Structure (extended XYZ):
```
18
Lattice="8.061 0.000 0.000 0.000 8.254 0.000 -4.030 -4.127 5.925" Properties=species:S:1:pos:R:3 pbc="T T T"
Ce 2.015 -2.064 2.962
Ce -2.015 -2.064 2.962
Pa 4.030 4.127 0.000
Pa 4.030 0.000 0.000
Tl 4.030 2.064 5.543
Tl 0.000 2.064 0.381
O 0.000 2.064 5.238
O 4.030 -2.064 3.829
O 5.535 -0.568 1.349
O 2.525 4.695 1.349
O 2.525 -0.568 1.349
O 5.535 4.695 1.349
O 4.030 2.064 0.686
O 0.000 6.191 2.096
O -1.505 4.695 4.575
O 1.505 -0.568 4.575
O 1.505 4.695 4.575
O -1.505 -0.568 4.575
```

## Properties
- DOS at the Fermi energy (states/eV/f.u.) = 6.547
- energy (eV/atom) = -7.64
- calculated volume (Å³/cell) = 394.2
- space group = No. 74

***

Which of these has the lowest energy?
CePaTiO6